--- 1 ---
# ZrTiCu2

ZrTiCu2 after structural relaxation (PBE, Alexandria via LeMat-Bulk).

abc: 3.1252 3.1252 6.5713
angles: 90.00 90.00 90.00
Closest atoms and distances in Å follow each position.
Positions (direct):
Ti  0.5000  0.5000  0.0000  8 Cu 2.63
Zr  0.5000  0.5000  0.5000  8 Cu 2.89, 4 Zr 3.13
Cu  0.0000  0.0000  0.2156  4 Ti 2.63, 1 Cu 2.83, 4 Zr 2.89
Cu  0.0000  0.0000  0.7844  4 Ti 2.63, 1 Cu 2.83, 4 Zr 2.89

Properties
As for the density: 6.89 g/cm3. The value obtained for the density of states at the Fermi level is 1.143 states/eV/atom.

---

--- 2 ---
# ZrTiCu2

ZrTiCu2 after structural relaxation (PBE, Alexandria via LeMat-Bulk).

abc: 4.5121 4.5121 4.5121
angles: 60.00 60.00 60.00
Closest atoms and distances in Å follow each position.
Positions (direct):
Cu  0.7500  0.7500  0.7500  4 Ti 2.76, 4 Zr 2.76
Cu  0.2500  0.2500  0.2500  4 Zr 2.76, 4 Ti 2.76
Zr  0.5000  0.5000  0.5000  8 Cu 2.76
Ti  0.0000  0.0000  0.0000  8 Cu 2.76

Properties
As for the density: 6.80 g/cm3. The value obtained for the density of states at the Fermi level is 0.716 states/eV/atom.

---

The computed energies, referenced to the most stable structure and given in meV per atom, are 1 0; 2 15.

---

--- 1 ---
# ZrTi3Cu

ZrTi3Cu after structural relaxation (PBE, Alexandria via LeMat-Bulk).

abc: 4.6463 4.6463 4.6463
angles: 90.00 90.00 90.00
Closest atoms and distances in Å follow each position.
Positions (direct):
Ti  0.0000  0.5000  0.0000  2 Cu 2.32
Ti  0.5000  0.0000  0.0000  2 Cu 2.32
Ti  0.0000  0.0000  0.5000  2 Cu 2.32
Cu  0.0000  0.0000  0.0000  6 Ti 2.32
Zr  0.5000  0.5000  0.5000  12 Ti 3.29

Properties
As for the density: 4.94 g/cm3. The value obtained for the density of states at the Fermi level is 1.536 states/eV/atom.

---

--- 2 ---
# ZrTi3Cu

ZrTi3Cu after structural relaxation (PBE, Alexandria via LeMat-Bulk).

abc: 4.7759 4.7759 4.7759
angles: 90.00 90.00 90.00
Closest atoms and distances in Å follow each position.
Positions (direct):
Ti  0.0000  0.0000  0.5000  2 Zr 2.39
Ti  0.0000  0.5000  0.0000  2 Zr 2.39
Ti  0.5000  0.0000  0.0000  2 Zr 2.39
Cu  0.5000  0.5000  0.5000  12 Ti 3.38
Zr  0.0000  0.0000  0.0000  6 Ti 2.39

Properties
As for the density: 4.55 g/cm3. The value obtained for the density of states at the Fermi level is 1.758 states/eV/atom.

---

The computed energies, referenced to the most stable structure and given in meV per atom, are 1 0; 2 782.

---

--- 1 ---
# Zr4TiCu

Zr4TiCu after structural relaxation (PBE, Alexandria via LeMat-Bulk).

abc: 6.8722 6.8722 7.2166
angles: 118.43 118.43 90.00
Closest atoms and distances in Å follow each position.
Positions (direct):
Zr  0.7926  0.2926  0.2770  2 Cu 2.86, 5 Zr 2.96-3.19, 2 Ti 2.99
Zr  0.4844  0.9844  0.2770  2 Cu 2.86, 5 Zr 2.96-3.19, 2 Ti 2.99
Zr  0.7074  0.5156  0.7230  2 Cu 2.86, 5 Zr 2.96-3.19, 2 Ti 2.99
Zr  0.0156  0.2074  0.7230  2 Cu 2.86, 5 Zr 2.96-3.19, 2 Ti 2.99
Zr  0.9844  0.7926  0.2770  2 Cu 2.86, 5 Zr 2.96-3.19, 2 Ti 2.99
Zr  0.2926  0.4844  0.2770  2 Cu 2.86, 5 Zr 2.96-3.19, 2 Ti 2.99
Zr  0.2074  0.7074  0.7230  2 Cu 2.86, 5 Zr 2.96-3.19, 2 Ti 2.99
Zr  0.5156  0.0156  0.7230  2 Cu 2.86, 5 Zr 2.96-3.19, 2 Ti 2.99
Ti  0.0000  0.0000  0.0000  2 Cu 2.67
Ti  0.5000  0.5000  0.0000  2 Cu 2.67
Cu  0.7500  0.7500  0.5000  2 Ti 2.67, 8 Zr 2.86
Cu  0.2500  0.2500  0.5000  2 Ti 2.67, 8 Zr 2.86

Properties
As for the density: 6.28 g/cm3. The value obtained for the density of states at the Fermi level is 1.387 states/eV/atom.

---

--- 2 ---
# Zr4TiCu

Zr4TiCu after structural relaxation (PBE, Alexandria via LeMat-Bulk).

abc: 3.1778 3.1778 12.1361
angles: 90.00 90.00 90.00
Closest atoms and distances in Å follow each position.
Positions (direct):
Ti  0.0000  0.0000  0.0000  8 Zr 3.04, 4 Ti 3.18
Zr  0.0000  0.0000  0.6458  4 Cu 2.86, 8 Zr 3.18
Zr  0.5000  0.5000  0.8316  4 Ti 3.04, 8 Zr 3.18
Zr  0.0000  0.0000  0.3542  4 Cu 2.86, 8 Zr 3.18
Zr  0.5000  0.5000  0.1684  4 Ti 3.04, 8 Zr 3.18
Cu  0.5000  0.5000  0.5000  8 Zr 2.86, 4 Cu 3.18

Properties
As for the density: 6.45 g/cm3. The value obtained for the density of states at the Fermi level is 1.270 states/eV/atom.

---

The computed energies, referenced to the most stable structure and given in meV per atom, are 1 228; 2 0.

---

--- 1 ---
# Zr2TiCu2

Zr2TiCu2 after structural relaxation (PBE, Alexandria via LeMat-Bulk).

abc: 7.7767 7.7767 3.0150
angles: 90.00 90.00 90.00
Closest atoms and distances in Å follow each position.
Positions (direct):
Zr  0.3395  0.8395  0.0000  6 Cu 2.71-2.75, 2 Ti 2.92, 2 Zr 3.02
Zr  0.1605  0.3395  0.0000  6 Cu 2.71-2.75, 2 Ti 2.92, 2 Zr 3.02
Zr  0.8395  0.6605  0.0000  6 Cu 2.71-2.75, 2 Ti 2.92, 2 Zr 3.02
Zr  0.6605  0.1605  0.0000  6 Cu 2.71-2.75, 2 Ti 2.92, 2 Zr 3.02
Cu  0.8654  0.3654  0.5000  6 Zr 2.71-2.75, 3 Cu 2.96-3.02
Cu  0.3654  0.1346  0.5000  6 Zr 2.71-2.75, 3 Cu 2.96-3.02
Cu  0.6346  0.8654  0.5000  6 Zr 2.71-2.75, 3 Cu 2.96-3.02
Cu  0.1346  0.6346  0.5000  6 Zr 2.71-2.75, 3 Cu 2.96-3.02
Ti  0.5000  0.5000  0.0000  4 Zr 2.92, 2 Ti 3.02
Ti  0.0000  0.0000  0.0000  4 Zr 2.92, 2 Ti 3.02

Properties
As for the density: 6.51 g/cm3. The value obtained for the density of states at the Fermi level is 0.821 states/eV/atom.

---

--- 2 ---
# Zr2TiCu2

Zr2TiCu2 after structural relaxation (PBE, Alexandria via LeMat-Bulk).

abc: 7.4277 7.4277 3.2483
angles: 90.00 90.00 90.00
Closest atoms and distances in Å follow each position.
Positions (direct):
Cu  0.8793  0.6207  0.0000  1 Cu 2.53, 6 Zr 2.68-2.77
Cu  0.1207  0.3793  0.0000  1 Cu 2.53, 6 Zr 2.68-2.77
Cu  0.6207  0.1207  0.0000  1 Cu 2.53, 6 Zr 2.68-2.77
Cu  0.3793  0.8793  0.0000  1 Cu 2.53, 6 Zr 2.68-2.77
Zr  0.3235  0.1765  0.5000  6 Cu 2.68-2.77
Zr  0.6765  0.8235  0.5000  6 Cu 2.68-2.77
Zr  0.1765  0.6765  0.5000  6 Cu 2.68-2.77
Zr  0.8235  0.3235  0.5000  6 Cu 2.68-2.77
Ti  0.0000  0.0000  0.0000  4 Cu 2.96, 8 Zr 3.18, 2 Ti 3.25
Ti  0.5000  0.5000  0.0000  4 Cu 2.96, 8 Zr 3.18, 2 Ti 3.25

Properties
As for the density: 6.62 g/cm3. The value obtained for the density of states at the Fermi level is 1.284 states/eV/atom.

---

The computed energies, referenced to the most stable structure and given in meV per atom, are 1 168; 2 0.

---

--- 1 ---
# Zr2Ti2Cu

Zr2Ti2Cu after structural relaxation (PBE, Alexandria via LeMat-Bulk).

abc: 7.0673 7.0673 3.9773
angles: 90.00 90.00 90.00
Closest atoms and distances in Å follow each position.
Positions (direct):
Cu  0.5000  0.5000  0.0000  4 Zr 2.69
Cu  0.0000  0.0000  0.0000  4 Zr 2.69
Ti  0.3541  0.1459  0.5000  6 Zr 2.85-2.89, 1 Ti 2.92
Ti  0.8541  0.3541  0.5000  6 Zr 2.85-2.89, 1 Ti 2.92
Ti  0.1459  0.6459  0.5000  6 Zr 2.85-2.89, 1 Ti 2.92
Ti  0.6459  0.8541  0.5000  6 Zr 2.85-2.89, 1 Ti 2.92
Zr  0.6503  0.1503  0.0000  2 Cu 2.69, 6 Ti 2.85-2.89, 1 Zr 3.00
Zr  0.8497  0.6503  0.0000  2 Cu 2.69, 6 Ti 2.85-2.89, 1 Zr 3.00
Zr  0.1503  0.3497  0.0000  2 Cu 2.69, 6 Ti 2.85-2.89, 1 Zr 3.00
Zr  0.3497  0.8497  0.0000  2 Cu 2.69, 6 Ti 2.85-2.89, 1 Zr 3.00

Properties
As for the density: 5.71 g/cm3. The value obtained for the density of states at the Fermi level is 1.054 states/eV/atom.

---

--- 2 ---
# Zr2Ti2Cu

Zr2Ti2Cu after structural relaxation (PBE, Alexandria via LeMat-Bulk).

abc: 3.5987 3.5987 8.1210
angles: 77.20 77.20 90.00
Closest atoms and distances in Å follow each position.
Positions (direct):
Zr  0.4049  0.4049  0.1902  1 Zr 2.93, 4 Cu 2.94, 4 Ti 2.99
Zr  0.5951  0.5951  0.8098  1 Zr 2.93, 4 Cu 2.94, 4 Ti 2.99
Ti  0.2500  0.7500  0.5000  4 Ti 2.54
Ti  0.7500  0.2500  0.5000  4 Ti 2.54
Cu  0.0000  0.0000  0.0000  8 Zr 2.94

Properties
As for the density: 5.68 g/cm3. The value obtained for the density of states at the Fermi level is 1.313 states/eV/atom.

---

--- 3 ---
# Zr2Ti2Cu

Zr2Ti2Cu after structural relaxation (PBE, Alexandria via LeMat-Bulk).

abc: 6.7579 6.7579 4.1811
angles: 90.00 90.00 90.00
Closest atoms and distances in Å follow each position.
Positions (direct):
Ti  0.3586  0.8586  0.0000  2 Cu 2.61, 1 Ti 2.70, 2 Zr 2.82
Ti  0.8586  0.6414  0.0000  2 Cu 2.61, 1 Ti 2.70, 2 Zr 2.82
Ti  0.1414  0.3586  0.0000  2 Cu 2.61, 1 Ti 2.70, 2 Zr 2.82
Ti  0.6414  0.1414  0.0000  2 Cu 2.61, 1 Ti 2.70, 2 Zr 2.82
Zr  0.8390  0.3390  0.5000  6 Ti 2.82-2.93, 1 Zr 3.08
Zr  0.6610  0.8390  0.5000  6 Ti 2.82-2.93, 1 Zr 3.08
Zr  0.3390  0.1610  0.5000  6 Ti 2.82-2.93, 1 Zr 3.08
Zr  0.1610  0.6610  0.5000  6 Ti 2.82-2.93, 1 Zr 3.08
Cu  0.5000  0.5000  0.0000  4 Ti 2.61
Cu  0.0000  0.0000  0.0000  4 Ti 2.61

Properties
As for the density: 5.94 g/cm3. The value obtained for the density of states at the Fermi level is 1.600 states/eV/atom.

---

The computed energies, referenced to the most stable structure and given in meV per atom, are 1 204; 2 313; 3 0.

---

--- 1 ---
# Zr3TiCu

Zr3TiCu after structural relaxation (PBE, Alexandria via LeMat-Bulk).

abc: 4.9132 4.9132 4.9132
angles: 90.00 90.00 90.00
Closest atoms and distances in Å follow each position.
Positions (direct):
Zr  0.0000  0.5000  0.0000  2 Cu 2.46
Zr  0.5000  0.0000  0.0000  2 Cu 2.46
Zr  0.0000  0.0000  0.5000  2 Cu 2.46
Ti  0.5000  0.5000  0.5000  12 Zr 3.47
Cu  0.0000  0.0000  0.0000  6 Zr 2.46

Properties
As for the density: 5.39 g/cm3. The value obtained for the density of states at the Fermi level is 1.653 states/eV/atom.

---

--- 2 ---
# Zr3TiCu

Zr3TiCu after structural relaxation (PBE, Alexandria via LeMat-Bulk).

abc: 4.9117 4.9117 4.9117
angles: 90.00 90.00 90.00
Closest atoms and distances in Å follow each position.
Positions (direct):
Cu  0.5000  0.5000  0.5000  12 Zr 3.47
Zr  0.5000  0.0000  0.0000  2 Ti 2.46
Zr  0.0000  0.5000  0.0000  2 Ti 2.46
Zr  0.0000  0.0000  0.5000  2 Ti 2.46
Ti  0.0000  0.0000  0.0000  6 Zr 2.46

Properties
As for the density: 5.40 g/cm3. The value obtained for the density of states at the Fermi level is 1.694 states/eV/atom.

---

The computed energies, referenced to the most stable structure and given in meV per atom, are 1 0; 2 314.